Entry 1:
Material: TiH2Se
Method: DFT, PBE
State: optimized geometry

Cell and atoms, written as extended XYZ:
```
8
Lattice="-1.4224 2.7074 -0.9882 -3.2111 -2.5983 2.7324 1.8158 2.6539 4.6575" Properties=species:S:1:pos:R:3 pbc="T T T"
Ti -1.2769 2.7314 4.0997
Ti -1.5407 0.0316 2.3021
H -1.3501 0.7759 4.0660
H -1.4675 1.9872 2.3357
H -0.7289 1.6838 5.6594
H -2.0887 1.0792 0.7423
Se -3.8874 0.8645 2.7424
Se 1.0698 1.8985 3.6594
```

Relative energy among the computed polymorphs (eV/atom): 0.000
D(E_F) (states/eV/f.u.): 1.17

Entry 2:
Material: ZrAlNi
Method: DFT, PBE
State: optimized geometry

Cell and atoms, written as extended XYZ:
```
3
Lattice="4.2344 0.0000 0.0000 2.1172 3.6671 0.0000 2.1172 1.2224 3.4574" Properties=species:S:1:pos:R:3 pbc="T T T"
Ni 6.3516 3.6671 2.5930
Al 4.2344 2.4447 1.7287
Zr 0.0000 0.0000 0.0000
```

ΔH_f (0 K) (meV/atom): -433
D(E_F) (states/eV/f.u.): 5.87

Entry 3:
Material: HPd4
Method: DFT, PBE
State: optimized geometry

Cell and atoms, written as extended XYZ:
```
5
Lattice="4.0030 0.0000 0.0000 0.0000 4.0030 0.0000 0.0000 0.0000 4.0030" Properties=species:S:1:pos:R:3 pbc="T T T"
H 2.0015 2.0015 2.0015
Pd 0.0000 0.0000 0.0000
Pd 2.0015 0.0000 2.0015
Pd 0.0000 2.0015 2.0015
Pd 2.0015 2.0015 0.0000
```

Relative energy among the computed polymorphs (eV/atom): 0.000
D(E_F) (states/eV/f.u.): 9.78

Entry 4:
Material: NiMo4Pt
Method: DFT, PBE
State: optimized geometry

Cell and atoms, written as extended XYZ:
```
6
Lattice="2.6986 0.5154 4.3429 -2.3946 1.1979 4.3863 -0.4384 -3.5085 3.7292" Properties=species:S:1:pos:R:3 pbc="T T T"
Ni -0.0336 -0.4488 3.1146
Mo 0.1337 0.6212 5.9241
Mo 1.1048 -1.7150 5.5980
Mo -0.0839 -1.1204 7.7753
Mo -1.4235 -1.3762 5.6195
Pt 0.0000 0.0000 0.0000
```

ΔH_f (0 K) (meV/atom): 333
D(E_F) (states/eV/f.u.): 6.77

Entry 5:
Material: La2SBrO
Method: DFT, PBE
State: optimized geometry

Cell and atoms, written as extended XYZ:
```
5
Lattice="5.4095 0.0000 0.0000 0.0000 5.1284 0.0000 0.0000 0.0000 5.4095" Properties=species:S:1:pos:R:3 pbc="T T T"
S 0.0000 0.0000 0.0000
O 2.7048 2.5642 2.7048
Br 0.0000 2.5642 0.0000
La 0.0000 0.0000 2.7048
La 2.7048 0.0000 0.0000
```

ΔE_f (raw) (eV per atom): -0.597
D(E_F) (states/eV/f.u.): 3.40

Entry 6:
Material: TbPmNCl
Method: DFT, PBE
State: optimized geometry

Cell and atoms, written as extended XYZ:
```
4
Lattice="-2.4054 -1.9937 1.8119 2.8671 1.3714 1.7157 -2.9874 6.6105 -0.2919" Properties=species:S:1:pos:R:3 pbc="T T T"
Tb 2.3368 1.4421 1.7693
Pm -2.7984 3.6512 0.9819
N -1.8402 6.0345 1.2770
Cl -2.2771 0.9335 2.2835
```

ΔE_f (raw) (eV per atom): -1.570
D(E_F) (states/eV/f.u.): 0.39

Entry 7:
Material: Y3Se
Method: DFT, PBE
State: optimized geometry

Cell and atoms, written as extended XYZ:
```
8
Lattice="3.3586 -5.8173 0.0000 3.3586 5.8173 0.0000 0.0000 0.0000 5.4181" Properties=species:S:1:pos:R:3 pbc="T T T"
Y 5.0071 -0.9873 1.3545
Y 1.7101 -0.9873 1.3545
Y 3.3586 -3.8426 1.3545
Y 1.7101 0.9873 4.0636
Y 5.0071 0.9873 4.0636
Y 3.3586 3.8426 4.0636
Se 3.3586 1.9391 1.3545
Se 3.3586 -1.9391 4.0636
```

Relative energy among the computed polymorphs (eV/atom): 0.492
ΔE_f (raw) (eV per atom): -0.331
D(E_F) (states/eV/f.u.): 5.20

Entry 8:
Material: Ba6InSn2
Method: DFT, PBE
State: optimized geometry

Cell and atoms, written as extended XYZ:
```
18
Lattice="9.7384 -0.0543 -3.5330 -5.1903 8.4849 -2.8961 -0.0891 0.0543 10.3591" Properties=species:S:1:pos:R:3 pbc="T T T"
Ba 1.5418 6.1702 4.5148
Ba 2.9172 2.3147 -0.5849
Ba -0.5088 2.3690 7.4136
Ba 4.9678 6.1159 -3.4836
Ba 3.9395 6.3508 0.7639
Ba 0.5194 2.1341 3.1660
Ba -2.1211 6.4051 6.8986
Ba 6.5800 2.0799 -2.9687
Ba 4.8218 2.9669 3.4171
Ba -0.3628 5.5180 0.5129
Ba -2.0754 8.2880 2.9337
Ba 6.5343 0.1970 0.9962
In -2.6397 4.2696 3.7315
In 0.0000 0.0000 0.0000
Sn 2.8152 3.2502 6.2536
Sn 1.6438 5.2347 -2.3236
Sn 6.4876 0.0000 4.5894
Sn 3.1617 0.0000 2.2366
```

ΔH_f (0 K) (meV/atom): -428
D(E_F) (states/eV/f.u.): 10.49

Short version: DFT total energy = -39.9, -19.4, -24.3, -53.2, -23.6, -25.8, -48.4, -52.3 eV/cell, in the order given.